Co5Se4Cl2O12: relaxed, GGA+U.

Cell: 6.517 7.662 7.685 Å, 65.66 73.22 81.20°
Positions (direct):
Cl1 0.186 0.670 0.027
Cl2 0.814 0.330 0.973
Co1 0.000 0.000 0.000
Co2 0.679 0.132 0.341
Co3 0.121 0.698 0.419
Co4 0.879 0.302 0.581
Co5 0.321 0.868 0.659
O1 0.169 0.964 0.201
O2 0.732 0.925 0.218
O3 0.961 0.207 0.359
O4 0.361 0.107 0.383
O5 0.829 0.589 0.469
O6 0.415 0.694 0.491
O7 0.585 0.306 0.509
O8 0.171 0.411 0.531
O9 0.639 0.893 0.617
O10 0.039 0.793 0.641
O11 0.268 0.075 0.782
O12 0.831 0.036 0.799
Se1 0.211 0.179 0.213
Se2 0.653 0.690 0.318
Se3 0.347 0.310 0.682
Se4 0.789 0.821 0.787

Summary:
- magnetization (μB per formula unit) = 15.00
- space group = P-1 (2)
- total DFT energy (no corrections) (eV per atom) = -5.38